w | Computed, not measured: crystalline PdPbIN2 at its relaxed geometry at the PBE-GGA level of DFT.

Unit cell a=4.2905 b=4.2905 c=5.8440 alpha=90.00 beta=90.00 gamma=90.00
With the nearest neighbours (Å) after each atom.
Space group P4/mmm (No. 123)
Asymmetric unit:
Pd (0.0000, 0.0000, 0.0000)  4 N 2.15
Pb (0.5000, 0.5000, 0.5000)  4 I 3.03
I (0.0000, 0.0000, 0.5000)  2 Pd 2.92, 4 Pb 3.03
N (0.0000, 0.5000, 0.0000)  2 Pd 2.15

Crystal system = tetragonal
Size of the total moment = 3.078 μB per formula unit

x | Computed, not measured: crystalline PdPbIN2 at its relaxed geometry at the PBE-GGA level of DFT.

Unit cell a=4.3538 b=4.3538 c=6.6035 alpha=90.00 beta=90.00 gamma=90.00
With the nearest neighbours (Å) after each atom.
Space group P4/mmm (No. 123)
Asymmetric unit:
Pd (0.0000, 0.0000, 0.0000)  4 I 3.08
Pb (0.5000, 0.5000, 0.5000)  4 N 2.18
I (0.5000, 0.5000, 0.0000)  4 Pd 3.08, 2 Pb 3.30
N (0.0000, 0.5000, 0.5000)  2 Pb 2.18

Crystal system = tetragonal
Size of the total moment = 2.884 μB per formula unit

Stability check: which of them is most stable? w.

w | Computed, not measured: crystalline RbPbIN2 at its relaxed geometry at the PBE-GGA level of DFT.

Unit cell a=5.2757 b=5.2757 c=6.8770 alpha=90.00 beta=90.00 gamma=90.00
With the nearest neighbours (Å) after each atom.
Space group P4/mmm (No. 123)
Asymmetric unit:
Rb (0.0000, 0.0000, 0.0000)  4 N 2.64
Pb (0.5000, 0.5000, 0.5000)  4 I 3.73
I (0.0000, 0.0000, 0.5000)  2 Rb 3.44, 4 Pb 3.73
N (0.0000, 0.5000, 0.0000)  2 Rb 2.64

Crystal system = tetragonal
Size of the total moment = 4.006 μB per formula unit

x | Computed, not measured: crystalline RbPbIN2 at its relaxed geometry at the PBE-GGA level of DFT.

Unit cell a=4.8339 b=4.8339 c=6.4921 alpha=90.00 beta=90.00 gamma=90.00
With the nearest neighbours (Å) after each atom.
Space group P4/mmm (No. 123)
Asymmetric unit:
Rb (0.0000, 0.0000, 0.0000)  4 I 3.42
Pb (0.5000, 0.5000, 0.5000)  4 N 2.42
I (0.5000, 0.5000, 0.0000)  2 Pb 3.25, 4 Rb 3.42
N (0.0000, 0.5000, 0.5000)  2 Pb 2.42

Crystal system = tetragonal
Size of the total moment = 3.080 μB per formula unit

Stability check: which of them is most stable? x.

w | Computed, not measured: crystalline RePbI2N at its relaxed geometry at the PBE-GGA level of DFT.

Unit cell a=5.7362 b=5.7362 c=3.8233 alpha=90.00 beta=90.00 gamma=90.00
With the nearest neighbours (Å) after each atom.
Space group P4/mmm (No. 123)
Asymmetric unit:
Re (0.0000, 0.0000, 0.0000)  2 N 1.91
Pb (0.5000, 0.5000, 0.5000)  8 I 3.45, 2 Pb 3.82
I (0.0000, 0.5000, 0.0000)  2 Re 2.87
N (0.0000, 0.0000, 0.5000)  2 Re 1.91

Crystal system = tetragonal
Size of the total moment = 0.000 μB per formula unit

x | Computed, not measured: crystalline RePbI2N at its relaxed geometry at the PBE-GGA level of DFT.

Unit cell a=6.3606 b=6.3606 c=4.4279 alpha=90.00 beta=90.00 gamma=90.00
With the nearest neighbours (Å) after each atom.
Space group P4/mmm (No. 123)
Asymmetric unit:
Re (0.0000, 0.0000, 0.0000)  8 I 3.88
Pb (0.5000, 0.5000, 0.5000)  2 N 2.21
I (0.0000, 0.5000, 0.5000)  2 Pb 3.18
N (0.5000, 0.5000, 0.0000)  2 Pb 2.21

Crystal system = tetragonal
Size of the total moment = 7.172 μB per formula unit

y | Computed, not measured: crystalline RePbI2N at its relaxed geometry at the PBE-GGA level of DFT.

Unit cell a=6.3184 b=6.3184 c=5.5878 alpha=90.00 beta=90.00 gamma=90.00
With the nearest neighbours (Å) after each atom.
Space group P4/mmm (No. 123)
Asymmetric unit:
Re (0.0000, 0.0000, 0.0000)  2 Pb 2.79
Pb (0.0000, 0.0000, 0.5000)  2 Re 2.79
I (0.0000, 0.5000, 0.5000)  2 Pb 3.16
N (0.5000, 0.5000, 0.0000)  8 I 4.22, 4 Re 4.47

Crystal system = tetragonal
Size of the total moment = 3.838 μB per formula unit

Stability check: which of them is most stable? w.